Entry 1:
Entry from the Alexandria database: a relaxed Ac2CeTm crystal (PBE-GGA).

CIF file:
```
data_Ac2CeTm
_chemical_formula_sum 'Ac6 Ce3 Tm3'
_symmetry_space_group_name_H-M 'R -3 m'
_symmetry_Int_Tables_number 166
_symmetry_space_group_name_Hall '-R 3 2"'
_cell_length_a 3.6802
_cell_length_b 3.6802
_cell_length_c 38.9753
_cell_angle_alpha 90.00
_cell_angle_beta 90.00
_cell_angle_gamma 120.00
loop_
_atom_site_label
_atom_site_type_symbol
_atom_site_fract_x
_atom_site_fract_y
_atom_site_fract_z
_atom_site_occupancy
Ac1 Ac 0.0000 0.0000 0.0891 1
Ce1 Ce 0.0000 0.0000 0.0000 1
Tm1 Tm 0.0000 0.0000 0.5000 1
```

Results
Crystal system   trigonal
Density of states at the Fermi level   2.69 states/eV per atom
Uncorrected energy   -4.37 eV per atom
Relative energy among the computed polymorphs   3.864 kcal/mol of atoms


Entry 2:
Entry from the Alexandria database: a relaxed Ac2CeTm crystal (PBE-GGA).

CIF file:
```
data_Ac2CeTm
_chemical_formula_sum 'Ac2 Ce1 Tm1'
_symmetry_space_group_name_H-M 'P 4/m m m'
_symmetry_Int_Tables_number 123
_symmetry_space_group_name_Hall '-P 4 2'
_cell_length_a 3.780
_cell_length_b 3.780
_cell_length_c 10.341
_cell_angle_alpha 90.00
_cell_angle_beta 90.00
_cell_angle_gamma 90.00
loop_
_atom_site_label
_atom_site_type_symbol
_atom_site_fract_x
_atom_site_fract_y
_atom_site_fract_z
_atom_site_occupancy
Ac1 Ac 0.000 0.000 0.248 1
Ce1 Ce 0.500 0.500 0.500 1
Tm1 Tm 0.500 0.500 0.000 1
```

Results
Crystal system   tetragonal
Density of states at the Fermi level   2.42 states/eV per atom
Uncorrected energy   -4.53 eV per atom
Relative energy among the computed polymorphs   0.000 kcal/mol of atoms


Entry 3:
Entry from the Alexandria database: a relaxed Ac14CeTm crystal (PBE-GGA).

CIF file:
```
data_Ac14CeTm
_chemical_formula_sum 'Ac14 Ce1 Tm1'
_symmetry_space_group_name_H-M 'P 4/m m m'
_symmetry_Int_Tables_number 123
_symmetry_space_group_name_Hall '-P 4 2'
_cell_length_a 7.864
_cell_length_b 7.864
_cell_length_c 11.198
_cell_angle_alpha 90.00
_cell_angle_beta 90.00
_cell_angle_gamma 90.00
loop_
_atom_site_label
_atom_site_type_symbol
_atom_site_fract_x
_atom_site_fract_y
_atom_site_fract_z
_atom_site_occupancy
Ac1 Ac 0.000 0.000 0.000 1
Ac2 Ac 0.000 0.500 0.000 1
Ac3 Ac 0.000 0.500 0.500 1
Ac4 Ac 0.250 0.250 0.258 1
Ac5 Ac 0.500 0.500 0.000 1
Ce1 Ce 0.000 0.000 0.500 1
Tm1 Tm 0.500 0.500 0.500 1
```

Results
Crystal system   tetragonal
Density of states at the Fermi level   2.14 states/eV per atom
Uncorrected energy   -4.19 eV per atom


Entry 4:
Entry from the Alexandria database: a relaxed Ac2CeTm crystal (PBE-GGA).

CIF file:
```
data_Ac2CeTm
_chemical_formula_sum 'Ac8 Ce4 Tm4'
_symmetry_space_group_name_H-M 'F m -3 m'
_symmetry_Int_Tables_number 225
_symmetry_space_group_name_Hall '-F 4 2 3'
_cell_length_a 8.463
_cell_length_b 8.463
_cell_length_c 8.463
_cell_angle_alpha 90.00
_cell_angle_beta 90.00
_cell_angle_gamma 90.00
loop_
_atom_site_label
_atom_site_type_symbol
_atom_site_fract_x
_atom_site_fract_y
_atom_site_fract_z
_atom_site_occupancy
Ac1 Ac 0.250 0.250 0.250 1
Ce1 Ce 0.000 0.000 0.000 1
Tm1 Tm 0.000 0.000 0.500 1
```

Results
Crystal system   cubic
Density of states at the Fermi level   3.25 states/eV per atom
Uncorrected energy   -4.44 eV per atom
Relative energy among the computed polymorphs   2.227 kcal/mol of atoms


Entry 5:
Entry from the Alexandria database: a relaxed AcCeTm2 crystal (PBE-GGA).

CIF file:
```
data_AcCeTm2
_chemical_formula_sum 'Ac4 Ce4 Tm8'
_symmetry_space_group_name_H-M 'F m -3 m'
_symmetry_Int_Tables_number 225
_symmetry_space_group_name_Hall '-F 4 2 3'
_cell_length_a 8.175
_cell_length_b 8.175
_cell_length_c 8.175
_cell_angle_alpha 90.00
_cell_angle_beta 90.00
_cell_angle_gamma 90.00
loop_
_atom_site_label
_atom_site_type_symbol
_atom_site_fract_x
_atom_site_fract_y
_atom_site_fract_z
_atom_site_occupancy
Ac1 Ac 0.000 0.000 0.000 1
Ce1 Ce 0.000 0.000 0.500 1
Tm1 Tm 0.250 0.250 0.250 1
```

Results
Crystal system   cubic
Density of states at the Fermi level   2.22 states/eV per atom
Uncorrected energy   -4.58 eV per atom
Relative energy among the computed polymorphs   1.661 kcal/mol of atoms


Entry 6:
Entry from the Alexandria database: a relaxed AcCeTm crystal (PBE-GGA).

CIF file:
```
data_AcCeTm
_chemical_formula_sum 'Ac4 Ce4 Tm4'
_symmetry_space_group_name_H-M 'C m c m'
_symmetry_Int_Tables_number 63
_symmetry_space_group_name_Hall '-C 2c 2'
_cell_length_a 5.098
_cell_length_b 15.639
_cell_length_c 5.138
_cell_angle_alpha 90.00
_cell_angle_beta 90.00
_cell_angle_gamma 90.00
loop_
_atom_site_label
_atom_site_type_symbol
_atom_site_fract_x
_atom_site_fract_y
_atom_site_fract_z
_atom_site_occupancy
Ac1 Ac 0.000 0.091 0.250 1
Ce1 Ce 0.000 0.249 0.750 1
Tm1 Tm 0.000 0.409 0.250 1
```

Results
Crystal system   orthorhombic
Density of states at the Fermi level   2.13 states/eV per atom
Uncorrected energy   -4.71 eV per atom
Relative energy among the computed polymorphs   0.000 kcal/mol of atoms